First-principles (GGA-PBE) data for a relaxed structure of Co2PbBr, as listed in the Alexandria database.

It has space group R3m (No. 160, hexagonal axes), with a = 3.6710 Å, b = 3.6710 Å, c = 22.0194 Å, α = 90.00°, β = 90.00° and γ = 120.00°. The asymmetric unit holds Co at (0.0000, 0.0000, 0.0000), Co at (0.0000, 0.0000, 0.2947), Pb at (0.0000, 0.0000, 0.7483) and Br at (0.0000, 0.0000, 0.5600).

For the energy relative to the lowest polymorph listed for this composition, the calculation gives 27 meV/atom. The calculation puts the uncorrected formation energy at 1.2 eV per formula unit.

---

First-principles (GGA-PBE) data for a relaxed structure of Ho8Tl2Bi, as listed in the Alexandria database.

It has space group C2/m (No. 12), with a = 8.741 Å, b = 14.511 Å, c = 5.708 Å, α = 90.00°, β = 112.36° and γ = 90.00°. The asymmetric unit holds Ho at (0.000, 0.224, 0.000), Ho at (0.095, 0.500, 0.795), Ho at (0.209, 0.114, 0.626), Tl at (0.000, 0.305, 0.500) and Bi at (0.000, 0.000, 0.000).

Its formation enthalpy at 0 K is -13.1 kJ per mole of atoms.

---

First-principles (GGA-PBE) data for a relaxed structure of TcIr3, as listed in the Alexandria database.

It has space group P4/mmm (No. 123), with a = 2.729 Å, b = 2.729 Å, c = 7.781 Å, α = 90.00°, β = 90.00° and γ = 90.00°. The asymmetric unit holds Tc at (0.000, 0.000, 0.000), Ir at (0.000, 0.000, 0.500) and Ir at (0.500, 0.500, 0.248).

Its formation enthalpy at 0 K is -10.0 kJ per mole of atoms.

---

First-principles (GGA-PBE) data for a relaxed structure of TbTl2Ge, as listed in the Alexandria database.

It has space group R-3m (No. 166, hexagonal axes), with a = 3.4961 Å, b = 3.4961 Å, c = 32.9776 Å, α = 90.00°, β = 90.00° and γ = 120.00°. The asymmetric unit holds Tb at (0.0000, 0.0000, 0.0000), Tl at (0.0000, 0.0000, 0.0951) and Ge at (0.0000, 0.0000, 0.5000).

For the energy relative to the lowest polymorph listed for this composition, the calculation gives 466 meV/atom. Its formation enthalpy at 0 K is 20.2 kJ per mole of atoms.

---

First-principles (GGA-PBE) data for a relaxed structure of InCuW2, as listed in the Alexandria database.

It has space group R3m (No. 160, hexagonal axes), with a = 2.8556 Å, b = 2.8556 Å, c = 28.3594 Å, α = 90.00°, β = 90.00° and γ = 120.00°. The asymmetric unit holds In at (0.0000, 0.0000, 0.0000), Cu at (0.0000, 0.0000, 0.7495), W at (0.0000, 0.0000, 0.2444) and W at (0.0000, 0.0000, 0.4928).

Its formation enthalpy at 0 K is 48.0 kJ per mole of atoms.

---

First-principles (GGA-PBE) data for a relaxed structure of NdYMg, as listed in the Alexandria database.

It has space group I4mm (No. 107), with a = 3.769 Å, b = 3.769 Å, c = 12.837 Å, α = 90.00°, β = 90.00° and γ = 90.00°. The asymmetric unit holds Nd at (0.000, 0.000, 0.000), Y at (0.000, 0.000, 0.687) and Mg at (0.000, 0.000, 0.339).

For the energy relative to the lowest polymorph listed for this composition, the calculation gives 15 meV/atom. Its formation enthalpy at 0 K is -5.3 kJ per mole of atoms.

---

First-principles (GGA-PBE) data for a relaxed structure of SrReSn2, as listed in the Alexandria database.

It has space group Fm-3m (No. 225), with a = 7.092 Å, b = 7.092 Å, c = 7.092 Å, α = 90.00°, β = 90.00° and γ = 90.00°. The asymmetric unit holds Sr at (0.000, 0.000, 0.000), Re at (0.000, 0.000, 0.500) and Sn at (0.250, 0.250, 0.250).

For the energy relative to the lowest polymorph listed for this composition, the calculation gives 0 meV/atom. Its formation enthalpy at 0 K is 32.3 kJ per mole of atoms.

---

First-principles (GGA-PBE) data for a relaxed structure of BaTa2Mn, as listed in the Alexandria database.

It has space group I4/mmm (No. 139), with a = 4.160 Å, b = 4.160 Å, c = 10.046 Å, α = 90.00°, β = 90.00° and γ = 90.00°. The asymmetric unit holds Ba at (0.000, 0.000, 0.000), Ta at (0.000, 0.500, 0.250) and Mn at (0.000, 0.000, 0.500).

For the energy relative to the lowest polymorph listed for this composition, the calculation gives 655 meV/atom. Its formation enthalpy at 0 K is 118.4 kJ per mole of atoms.

---

First-principles (GGA-PBE) data for a relaxed structure of TeIr2, as listed in the Alexandria database.

It has space group Immm (No. 71), with a = 2.980 Å, b = 3.788 Å, c = 9.132 Å, α = 90.00°, β = 90.00° and γ = 90.00°. The asymmetric unit holds Te at (0.000, 0.000, 0.000) and Ir at (0.000, 0.000, 0.332).

For the energy relative to the lowest polymorph listed for this composition, the calculation gives 605 meV/atom. The calculation puts the uncorrected formation energy at 1.8 eV per formula unit.

---

First-principles (GGA-PBE) data for a relaxed structure of Sm2Y3Ho3, as listed in the Alexandria database.

It has space group Immm (No. 71), with a = 5.050 Å, b = 5.051 Å, c = 20.156 Å, α = 90.00°, β = 90.00° and γ = 90.00°. The asymmetric unit holds Sm at (0.000, 0.000, 0.250), Y at (0.000, 0.000, 0.000), Y at (0.000, 0.500, 0.376), Ho at (0.000, 0.000, 0.500) and Ho at (0.000, 0.500, 0.124).

For the energy relative to the lowest polymorph listed for this composition, the calculation gives 20 meV/atom. Its formation enthalpy at 0 K is 2.2 kJ per mole of atoms.

---

First-principles (GGA-PBE) data for a relaxed structure of LiAuS2, as listed in the Alexandria database.

It has space group R-3m (No. 166, hexagonal axes), with a = 3.2782 Å, b = 3.2782 Å, c = 23.5923 Å, α = 90.00°, β = 90.00° and γ = 120.00°. The asymmetric unit holds Li at (0.0000, 0.0000, 0.0000), Au at (0.0000, 0.0000, 0.5000) and S at (0.0000, 0.0000, 0.4032).

The calculation puts the uncorrected formation energy at -0.6 eV per formula unit.

---

First-principles (GGA-PBE) data for a relaxed structure of K2AsRh, as listed in the Alexandria database.

It has space group Immm (No. 71), with a = 4.144 Å, b = 4.164 Å, c = 10.465 Å, α = 90.00°, β = 90.00° and γ = 90.00°. The asymmetric unit holds K at (0.000, 0.000, 0.249), As at (0.000, 0.500, 0.000) and Rh at (0.000, 0.500, 0.500).

Its formation enthalpy at 0 K is 29.3 kJ per mole of atoms.

---

First-principles (GGA-PBE) data for a relaxed structure of ScCdBr2, as listed in the Alexandria database.

It has space group R3m (No. 160, hexagonal axes), with a = 3.7550 Å, b = 3.7550 Å, c = 28.0186 Å, α = 90.00°, β = 90.00° and γ = 120.00°. The asymmetric unit holds Sc at (0.0000, 0.0000, 0.0000), Cd at (0.0000, 0.0000, 0.7480), Br at (0.0000, 0.0000, 0.2741) and Br at (0.0000, 0.0000, 0.4791).

For the energy relative to the lowest polymorph listed for this composition, the calculation gives 166 meV/atom. The calculation puts the uncorrected formation energy at -3.4 eV per formula unit.

---

First-principles (GGA-PBE) data for a relaxed structure of CaTc, as listed in the Alexandria database.

It has space group P4/nmm (No. 129, origin choice 2), with a = 3.226 Å, b = 3.226 Å, c = 9.042 Å, α = 90.00°, β = 90.00° and γ = 90.00°. The asymmetric unit holds Ca at (0.250, 0.250, 0.193) and Tc at (0.250, 0.250, 0.565).

For the energy relative to the lowest polymorph listed for this composition, the calculation gives 4 meV/atom. Its formation enthalpy at 0 K is 21.0 kJ per mole of atoms.

---

First-principles (GGA-PBE) data for a relaxed structure of SiSb2Pt, as listed in the Alexandria database.

It has space group Cm (No. 8), with a = 7.549 Å, b = 3.889 Å, c = 6.390 Å, α = 90.00°, β = 105.84° and γ = 90.00°. The asymmetric unit holds Si at (0.000, 0.000, 0.000), Sb at (0.036, 0.500, 0.648), Sb at (0.305, 0.500, 0.279) and Pt at (0.286, 0.000, 0.893).

The calculation puts the uncorrected formation energy at -0.5 eV per formula unit.

---

First-principles (GGA-PBE) data for a relaxed structure of TlCd5Ga2, as listed in the Alexandria database.

It has space group Immm (No. 71), with a = 4.239 Å, b = 8.248 Å, c = 11.040 Å, α = 90.00°, β = 90.00° and γ = 90.00°. The asymmetric unit holds Tl at (0.000, 0.000, 0.000), Cd at (0.000, 0.196, 0.360), Cd at (0.000, 0.500, 0.000) and Ga at (0.000, 0.500, 0.259).

Its formation enthalpy at 0 K is 3.8 kJ per mole of atoms.

---

First-principles (GGA-PBE) data for a relaxed structure of PmHfAlO6, as listed in the Alexandria database.

It has space group P312 (No. 149), with a = 5.3955 Å, b = 5.3955 Å, c = 4.5157 Å, α = 90.00°, β = 90.00° and γ = 120.00°. The asymmetric unit holds Pm at (0.0000, 0.0000, 0.0000), Hf at (0.6667, 0.3333, 0.5000), Al at (0.3333, 0.6667, 0.0000) and O at (0.0139, 0.3944, 0.2352).

The calculation puts the uncorrected formation energy at -23.6 eV per formula unit.

---

First-principles (GGA-PBE) data for a relaxed structure of SrZrCl, as listed in the Alexandria database.

It has space group P3m1 (No. 156), with a = 3.6484 Å, b = 3.6484 Å, c = 6.9592 Å, α = 90.00°, β = 90.00° and γ = 120.00°. The asymmetric unit holds Sr at (0.0000, 0.0000, 0.0000), Zr at (0.6667, 0.3333, 0.6048) and Cl at (0.3333, 0.6667, 0.3469).

For the energy relative to the lowest polymorph listed for this composition, the calculation gives 0 meV/atom. The calculation puts the uncorrected formation energy at -1.6 eV per formula unit.

---

First-principles (GGA-PBE) data for a relaxed structure of Sr2YPb, as listed in the Alexandria database.

It has space group Pmmm (No. 47), with a = 3.914 Å, b = 5.183 Å, c = 7.219 Å, α = 90.00°, β = 90.00° and γ = 90.00°. The asymmetric unit holds Sr at (0.000, 0.000, 0.237), Y at (0.500, 0.500, 0.500) and Pb at (0.500, 0.500, 0.000).

Its formation enthalpy at 0 K is -14.3 kJ per mole of atoms.

---

First-principles (GGA-PBE) data for a relaxed structure of CdSb2TeC, as listed in the Alexandria database.

It has space group P4/mmm (No. 123), with a = 4.831 Å, b = 4.831 Å, c = 4.916 Å, α = 90.00°, β = 90.00° and γ = 90.00°. The asymmetric unit holds Cd at (0.000, 0.000, 0.000), Sb at (0.000, 0.500, 0.500), Te at (0.500, 0.500, 0.000) and C at (0.500, 0.500, 0.500).

For the energy relative to the lowest polymorph listed for this composition, the calculation gives 0 meV/atom. The calculation puts the uncorrected formation energy at 4.6 eV per formula unit.

---

First-principles (GGA-PBE) data for a relaxed structure of SmBiIr, as listed in the Alexandria database.

It has space group P4_2/m (No. 84), with a = 8.490 Å, b = 8.490 Å, c = 4.783 Å, α = 90.00°, β = 90.00° and γ = 90.00°. The asymmetric unit holds Sm at (0.094, 0.716, 0.000), Bi at (0.189, 0.469, 0.500) and Ir at (0.233, 0.317, 0.000).

Its formation enthalpy at 0 K is -27.4 kJ per mole of atoms.

---

First-principles (GGA-PBE) data for a relaxed structure of CuMoRh2, as listed in the Alexandria database.

It has space group F-43m (No. 216), with a = 6.120 Å, b = 6.120 Å, c = 6.120 Å, α = 90.00°, β = 90.00° and γ = 90.00°. The asymmetric unit holds Cu at (0.000, 0.000, 0.000), Mo at (0.250, 0.250, 0.250), Rh at (0.000, 0.000, 0.500) and Rh at (0.250, 0.250, 0.750).

For the energy relative to the lowest polymorph listed for this composition, the calculation gives 367 meV/atom. Its formation enthalpy at 0 K is 22.4 kJ per mole of atoms.

---

First-principles (GGA-PBE) data for a relaxed structure of Th4ZnSi, as listed in the Alexandria database.

It has space group P4/mcc (No. 124), with a = 7.498 Å, b = 7.498 Å, c = 5.760 Å, α = 90.00°, β = 90.00° and γ = 90.00°. The asymmetric unit holds Th at (0.155, 0.334, 0.000), Zn at (0.500, 0.500, 0.250) and Si at (0.000, 0.000, 0.250).

The calculation puts the uncorrected formation energy at -1.9 eV per formula unit.

---

First-principles (GGA-PBE) data for a relaxed structure of Ac3NdTh2As6, as listed in the Alexandria database.

It has space group C2/m (No. 12), with a = 7.593 Å, b = 13.158 Å, c = 7.647 Å, α = 90.00°, β = 109.31° and γ = 90.00°. The asymmetric unit holds Ac at (0.000, 0.000, 0.000), Ac at (0.000, 0.334, 0.000), Nd at (0.000, 0.500, 0.500), Th at (0.000, 0.167, 0.500), As at (0.240, 0.000, 0.731) and As at (0.246, 0.332, 0.732).

Its formation enthalpy at 0 K is -141.9 kJ per mole of atoms.

---

First-principles (GGA-PBE) data for a relaxed structure of LiPm2NpRh6, as listed in the Alexandria database.

It has space group C2/m (No. 12), with a = 10.495 Å, b = 6.070 Å, c = 6.923 Å, α = 90.00°, β = 120.35° and γ = 90.00°. The asymmetric unit holds Li at (0.000, 0.000, 0.000), Pm at (0.230, 0.000, 0.691), Np at (0.000, 0.500, 0.500), Rh at (0.021, 0.265, 0.800) and Rh at (0.244, 0.000, 0.201).

Its formation enthalpy at 0 K is -27.8 kJ per mole of atoms.

---

First-principles (GGA-PBE) data for a relaxed structure of TiV12Cr6, as listed in the Alexandria database.

It has space group C2/m (No. 12), with a = 8.357 Å, b = 11.727 Å, c = 5.489 Å, α = 90.00°, β = 104.04° and γ = 90.00°. The asymmetric unit holds Ti at (0.000, 0.000, 0.000), V at (0.000, 0.118, 0.500), V at (0.035, 0.500, 0.775), V at (0.176, 0.337, 0.590), V at (0.246, 0.139, 0.927), Cr at (0.035, 0.253, 0.192) and Cr at (0.242, 0.000, 0.616).

Its formation enthalpy at 0 K is 25.0 kJ per mole of atoms.

---

First-principles (GGA-PBE) data for a relaxed structure of KCa2Cd, as listed in the Alexandria database.

It has space group Pm (No. 6), with a = 4.051 Å, b = 3.985 Å, c = 10.146 Å, α = 90.00°, β = 90.16° and γ = 90.00°. The asymmetric unit holds K at (0.000, 0.000, 0.000), Ca at (0.001, 0.000, 0.597), Ca at (0.500, 0.500, 0.338) and Cd at (0.501, 0.500, 0.752).

Its formation enthalpy at 0 K is -3.8 kJ per mole of atoms.